1.
# La2Pu3UP6 | Alexandria | PBE-GGA | relaxed
# Total moment: 34.92 μB/cell
# E_form: -1236 meV per atom
# Fermi-level density of states: 61.1 states/eV/cell
data_La2Pu3UP6
_chemical_formula_sum 'La4 Pu6 U2 P12'
_symmetry_space_group_name_H-M 'C 1 2/m 1'
_symmetry_Int_Tables_number 12
_symmetry_space_group_name_Hall '-C 2y'
_cell_length_a 17.7222
_cell_length_b 4.0755
_cell_length_c 8.1751
_cell_angle_alpha 90.00
_cell_angle_beta 102.63
_cell_angle_gamma 90.00
loop_
_atom_site_label
_atom_site_fract_x
_atom_site_fract_y
_atom_site_fract_z
_atom_site_occupancy
La1 0.1659 0.0000 0.3348 1
Pu1 0.0000 0.5000 0.5000 1
Pu2 0.1677 0.0000 0.8364 1
U1 0.0000 0.5000 0.0000 1
P1 0.0048 0.0000 0.7592 1
P2 0.1624 0.5000 0.5978 1
P3 0.1637 0.5000 0.0699 1

***

2.
# La2PuZrP4 | Alexandria | PBE-GGA | relaxed
# Total moment: 5.10 μB/cell
# E_form: -1402 meV per atom
# Fermi-level density of states: 11.7 states/eV/cell
data_La2PuZrP4
_chemical_formula_sum 'La2 Pu1 Zr1 P4'
_symmetry_space_group_name_H-M 'P 1 2/m 1'
_symmetry_Int_Tables_number 10
_symmetry_space_group_name_Hall '-P 2y'
_cell_length_a 6.9775
_cell_length_b 4.0426
_cell_length_c 7.0679
_cell_angle_alpha 90.00
_cell_angle_beta 109.13
_cell_angle_gamma 90.00
loop_
_atom_site_label
_atom_site_fract_x
_atom_site_fract_y
_atom_site_fract_z
_atom_site_occupancy
La1 0.0000 0.0000 0.0000 1
La2 0.5000 0.5000 0.0000 1
Pu1 0.0000 0.5000 0.5000 1
Zr1 0.5000 0.0000 0.5000 1
P1 0.2491 0.0000 0.7246 1
P2 0.2656 0.5000 0.2771 1

***

3.
# RbLaP3 | Alexandria | PBE-GGA | relaxed
# Energy above the most stable polymorph in this dataset: 745.3 meV per atom
# Total moment: 0.00 μB/cell
# E_form: 982 meV per atom
# Fermi-level density of states: 2.8 states/eV/cell
data_RbLaP3
_chemical_formula_sum 'Rb1 La1 P3'
_symmetry_space_group_name_H-M 'P m -3 m'
_symmetry_Int_Tables_number 221
_symmetry_space_group_name_Hall '-P 4 2 3'
_cell_length_a 5.1867
_cell_length_b 5.1867
_cell_length_c 5.1867
_cell_angle_alpha 90.00
_cell_angle_beta 90.00
_cell_angle_gamma 90.00
loop_
_atom_site_label
_atom_site_fract_x
_atom_site_fract_y
_atom_site_fract_z
_atom_site_occupancy
Rb1 0.0000 0.0000 0.0000 1
La1 0.5000 0.5000 0.5000 1
P1 0.0000 0.0000 0.5000 1

***

4.
# RbLaP2 | Alexandria | PBE-GGA | relaxed
# Energy above the most stable polymorph in this dataset: 0.0 meV per atom
# Total moment: 0.00 μB/cell
# E_form: -299 meV per atom
# Fermi-level density of states: 1.7 states/eV/cell
data_RbLaP2
_chemical_formula_sum 'Rb4 La4 P8'
_symmetry_space_group_name_H-M 'I -4 2 d'
_symmetry_Int_Tables_number 122
_symmetry_space_group_name_Hall 'I -4 2bw'
_cell_length_a 5.7732
_cell_length_b 5.7732
_cell_length_c 18.9424
_cell_angle_alpha 90.00
_cell_angle_beta 90.00
_cell_angle_gamma 90.00
loop_
_atom_site_label
_atom_site_fract_x
_atom_site_fract_y
_atom_site_fract_z
_atom_site_occupancy
Rb1 0.0000 0.0000 0.0000 1
La1 0.0000 0.0000 0.5000 1
P1 0.0601 0.2500 0.6250 1

***

5.
# Rb2LaP | Alexandria | PBE-GGA | relaxed
# Total moment: 0.00 μB/cell
# E_form: -104 meV per atom
# Fermi-level density of states: 4.0 states/eV/cell
data_Rb2LaP
_chemical_formula_sum 'Rb8 La4 P4'
_symmetry_space_group_name_H-M 'I -4 2 d'
_symmetry_Int_Tables_number 122
_symmetry_space_group_name_Hall 'I -4 2bw'
_cell_length_a 12.8045
_cell_length_b 12.8045
_cell_length_c 5.6172
_cell_angle_alpha 90.00
_cell_angle_beta 90.00
_cell_angle_gamma 90.00
loop_
_atom_site_label
_atom_site_fract_x
_atom_site_fract_y
_atom_site_fract_z
_atom_site_occupancy
Rb1 0.1057 0.2500 0.1250 1
La1 0.0000 0.0000 0.5000 1
P1 0.0000 0.0000 0.0000 1

***

6.
# Rb2LaP2 | Alexandria | PBE-GGA | relaxed
# Total moment: 0.76 μB/cell
# E_form: -405 meV per atom
# Fermi-level density of states: 3.0 states/eV/cell
data_Rb2LaP2
_chemical_formula_sum 'Rb4 La2 P4'
_symmetry_space_group_name_H-M 'P 4/m b m'
_symmetry_Int_Tables_number 127
_symmetry_space_group_name_Hall '-P 4 2ab'
_cell_length_a 7.5012
_cell_length_b 7.5012
_cell_length_c 5.8137
_cell_angle_alpha 90.00
_cell_angle_beta 90.00
_cell_angle_gamma 90.00
loop_
_atom_site_label
_atom_site_fract_x
_atom_site_fract_y
_atom_site_fract_z
_atom_site_occupancy
Rb1 0.1671 0.3329 0.0000 1
La1 0.0000 0.0000 0.5000 1
P1 0.1073 0.6073 0.5000 1